The following is a PBE+U calculation of a relaxed structure of Na2VOF4, from Alexandria via LeMat-Bulk.

The total energy comes out at -5.475 eV/atom. The total magnetic moment comes out at 8.0 μB per cell.

It has space group C2/c (No. 15), with a = 12.846 Å, b = 10.452 Å, c = 6.858 Å, α = 90.00°, β = 106.82° and γ = 90.00°. The asymmetric unit holds Na at (0.103, 0.104, 0.124), Na at (0.164, 0.405, 0.034), V at (0.136, 0.262, 0.583), O at (0.014, 0.326, 0.512), F at (0.092, 0.092, 0.461), F at (0.155, 0.186, 0.849), F at (0.190, 0.302, 0.345) and F at (0.210, 0.414, 0.729).